# Al3AsRh | Alexandria via LeMat-Bulk | PBE | optimized geometry
# * ρ: 4.18 g/cm3
# * relative energy among the computed polymorphs: 0 meV/atom
# * DFT formation energy: -27.1 meV per atom
# * M_tot: 0.00 μB per cell
data_Al3AsRh
_symmetry_space_group_name_H-M 'P m -3 m'
_symmetry_Int_Tables_number 221
_symmetry_space_group_name_Hall '-P 4 2 3'
_cell_length_a 4.683
_cell_length_b 4.683
_cell_length_c 4.683
_cell_angle_alpha 90.00
_cell_angle_beta 90.00
_cell_angle_gamma 90.00
loop_
_atom_site_label
_atom_site_fract_x
_atom_site_fract_y
_atom_site_fract_z
_atom_site_occupancy
Al1 0.000 0.000 0.500 1
As1 0.500 0.500 0.500 1
Rh1 0.000 0.000 0.000 1

# AlAsRh2 | Alexandria via LeMat-Bulk | PBE | optimized geometry
# * ρ: 8.22 g/cm3
# * relative energy among the computed polymorphs: 373 meV/atom
# * DFT formation energy: -228.7 meV per atom
# * M_tot: 0.00 μB per cell
data_AlAsRh2
_symmetry_space_group_name_H-M 'R 3 m'
_symmetry_Int_Tables_number 160
_symmetry_space_group_name_Hall 'R 3 -2"'
_cell_length_a 3.0009
_cell_length_b 3.0009
_cell_length_c 23.9126
_cell_angle_alpha 90.00
_cell_angle_beta 90.00
_cell_angle_gamma 120.00
loop_
_atom_site_label
_atom_site_fract_x
_atom_site_fract_y
_atom_site_fract_z
_atom_site_occupancy
Al1 0.0000 0.0000 0.0000 1
As1 0.0000 0.0000 0.7594 1
Rh1 0.0000 0.0000 0.2605 1
Rh2 0.0000 0.0000 0.4986 1

# AlAsRh2 | Alexandria via LeMat-Bulk | PBE | optimized geometry
# * ρ: 8.81 g/cm3
# * relative energy among the computed polymorphs: 33 meV/atom
# * DFT formation energy: -569.2 meV per atom
# * M_tot: 0.00 μB per cell
data_AlAsRh2
_symmetry_space_group_name_H-M 'P 1 2/m 1'
_symmetry_Int_Tables_number 10
_cell_length_a 2.996
_cell_length_b 3.000
_cell_length_c 6.453
_cell_angle_alpha 90.00
_cell_angle_beta 90.11
_cell_angle_gamma 90.00
loop_
_symmetry_equiv_pos_as_xyz
'x,y,z'
'-x,-y,-z'
'-x,y,-z'
'x,-y,z'
loop_
_atom_site_label
_atom_site_fract_x
_atom_site_fract_y
_atom_site_fract_z
_atom_site_occupancy
Al1 0.000 0.000 0.000 1
As1 0.000 0.000 0.500 1
Rh1 0.499 0.500 0.764 1

# AlAsRh2 | Alexandria via LeMat-Bulk | PBE | optimized geometry
# * ρ: 8.73 g/cm3
# * relative energy among the computed polymorphs: 162 meV/atom
# * DFT formation energy: -440.0 meV per atom
# * M_tot: 0.00 μB per cell
data_AlAsRh2
_symmetry_space_group_name_H-M 'I -4 m 2'
_symmetry_Int_Tables_number 119
_symmetry_space_group_name_Hall 'I -4 -2'
_cell_length_a 3.616
_cell_length_b 3.616
_cell_length_c 8.954
_cell_angle_alpha 90.00
_cell_angle_beta 90.00
_cell_angle_gamma 90.00
loop_
_atom_site_label
_atom_site_fract_x
_atom_site_fract_y
_atom_site_fract_z
_atom_site_occupancy
Al1 0.000 0.000 0.000 1
As1 0.000 0.500 0.750 1
Rh1 0.000 0.000 0.500 1
Rh2 0.000 0.500 0.250 1

# Al2AsRh | Alexandria via LeMat-Bulk | PBE | optimized geometry
# * ρ: 5.97 g/cm3
# * DFT formation energy: -422.6 meV per atom
# * M_tot: 0.00 μB per cell
data_Al2AsRh
_symmetry_space_group_name_H-M 'P 1 m 1'
_symmetry_Int_Tables_number 6
_cell_length_a 3.469
_cell_length_b 4.056
_cell_length_c 4.903
_cell_angle_alpha 90.00
_cell_angle_beta 110.71
_cell_angle_gamma 90.00
loop_
_symmetry_equiv_pos_as_xyz
'x,y,z'
'x,-y,z'
loop_
_atom_site_label
_atom_site_fract_x
_atom_site_fract_y
_atom_site_fract_z
_atom_site_occupancy
Al1 0.000 0.000 0.000 1
Al2 0.290 0.500 0.578 1
As1 0.562 0.500 0.122 1
Rh1 0.724 0.000 0.449 1

# Al2AsRh | Alexandria via LeMat-Bulk | PBE | optimized geometry
# * ρ: 6.34 g/cm3
# * DFT formation energy: -390.1 meV per atom
# * M_tot: 0.00 μB per cell
data_Al2AsRh
_symmetry_space_group_name_H-M 'P 4/m m m'
_symmetry_Int_Tables_number 123
_symmetry_space_group_name_Hall '-P 4 2'
_cell_length_a 3.315
_cell_length_b 3.315
_cell_length_c 5.522
_cell_angle_alpha 90.00
_cell_angle_beta 90.00
_cell_angle_gamma 90.00
loop_
_atom_site_label
_atom_site_fract_x
_atom_site_fract_y
_atom_site_fract_z
_atom_site_occupancy
Al1 0.000 0.000 0.246 1
As1 0.500 0.500 0.500 1
Rh1 0.500 0.500 0.000 1